SrPd9Pt3 | PBE | optimized geometry

It has space group C2/m (No. 12), with a = 5.3143 Å, b = 12.9970 Å, c = 7.0077 Å, α = 90.00°, β = 112.06° and γ = 90.00°. The inequivalent atoms are Sr at (0.0000, 0.0000, 0.0000), Pd at (0.0000, 0.5000, 0.5000), Pd at (0.1121, 0.3883, 0.2237), Pd at (0.1710, 0.1758, 0.3511), Pt at (0.0000, 0.0000, 0.5000) and Pt at (0.2500, 0.2500, 0.0000).

As for the calculated density: 12.1 Mg/m³. The value obtained for the total DFT energy (no corrections) is -5.31 eV per atom. The calculation puts the formation energy at -192 meV per atom.